1 | {
  "formula": "KSrIr3",
  "functional": "GGA-PBE",
  "state": "optimized geometry",
  "cell": [[-4.030, -2.706, -0.763], [0.681, -2.233, 4.323], [-2.727, 3.440, 2.207]],
  "species": ["K", "Ir", "Ir", "Ir", "Sr"],
  "fractional_positions": [[0.000, 0.000, 0.000], [0.000, 0.500, 0.000], [0.000, 0.000, 0.500], [0.500, 0.000, 0.000], [0.500, 0.500, 0.500]],
  "magmom_total_mub_per_fu": 1.4
}



2 | {
  "formula": "KSrIr3",
  "functional": "GGA-PBE",
  "state": "optimized geometry",
  "cell": [[5.217, 0.000, 0.000], [0.000, 5.217, 0.000], [0.000, 0.000, 5.217]],
  "species": ["Sr", "Ir", "Ir", "Ir", "K"],
  "fractional_positions": [[0.000, 0.000, 0.000], [0.000, 0.000, 0.500], [0.500, 0.000, 0.000], [0.000, 0.500, 0.000], [0.500, 0.500, 0.500]],
  "magmom_total_mub_per_fu": 2.0
}



Most stable: 1. Least stable: 2.